# SrPmBi4 (PBE-GGA, optimized geometry)
data_SrPmBi4
_cell_length_a 9.399
_cell_length_b 9.399
_cell_length_c 9.399
_cell_angle_alpha 90.00
_cell_angle_beta 90.00
_cell_angle_gamma 90.00
_space_group_name_H-M_alt 'F -4 3 m'
_space_group_IT_number 216
_space_group_name_Hall 'F -4 2 3'
loop_
_atom_site_label
_atom_site_fract_x
_atom_site_fract_y
_atom_site_fract_z
Sr1 0.000 0.000 0.000
Pm1 0.250 0.250 0.750
Bi1 0.125 0.125 0.375
# energy of formation: -0.285 eV/atom
# DFT total energy: -3.94 eV per atom
# ρ: 8.5 g/cm3